Entry 1:
Entry from Alexandria via LeMat-Bulk: a relaxed structure of Ba3NaO3 (GGA-PBE).

Cell: 8.323 8.323 5.527 Å, 90.00 90.00 120.00°
Fractional coordinates of all 14 atoms:
Ba1 0.066 0.345 0.250
Ba2 0.279 0.934 0.250
Ba3 0.345 0.279 0.750
Ba4 0.655 0.721 0.250
Ba5 0.721 0.066 0.750
Ba6 0.934 0.655 0.750
Na1 0.333 0.667 0.750
Na2 0.667 0.333 0.250
O1 0.067 0.371 0.750
O2 0.303 0.933 0.750
O3 0.371 0.303 0.250
O4 0.629 0.697 0.750
O5 0.697 0.067 0.250
O6 0.933 0.629 0.250

Summary:
The energy relative to the elements, uncorrected comes out at -1928 meV per atom. Its density of states at the Fermi level is 0.361 states/eV per atom. The volume comes out at 332 Å³/cell.



Entry 2:
Entry from Alexandria via LeMat-Bulk: a relaxed structure of ZrTl2 (GGA-PBE).

Cell: 4.541 15.458 4.224 Å, 90.00 90.00 90.00°
Fractional coordinates of all 12 atoms:
Zr1 0.000 0.081 0.250
Zr2 0.000 0.919 0.750
Zr3 0.500 0.419 0.750
Zr4 0.500 0.581 0.250
Tl1 0.000 0.244 0.750
Tl2 0.000 0.426 0.250
Tl3 0.000 0.574 0.750
Tl4 0.000 0.756 0.250
Tl5 0.500 0.074 0.750
Tl6 0.500 0.256 0.250
Tl7 0.500 0.744 0.750
Tl8 0.500 0.926 0.250

Summary:
For the formation energy, the calculation gives 0.232 eV/f.u. Its density of states at the Fermi level is 0.869 states/eV per atom. The volume comes out at 296 Å³/cell.



Entry 3:
Entry from Alexandria via LeMat-Bulk: a relaxed structure of BaMn2CdW (GGA-PBE).

Cell: 4.892 4.892 6.003 Å, 90.00 90.00 90.00°
Fractional coordinates of all 5 atoms:
Ba1 0.000 0.000 0.000
Mn1 0.000 0.500 0.500
Mn2 0.500 0.000 0.500
Cd1 0.500 0.500 0.000
W1 0.000 0.000 0.500

Summary:
For the formation energy, the calculation gives 5.910 eV/f.u. Its density of states at the Fermi level is 1.033 states/eV per atom. The volume comes out at 144 Å³/cell.



Entry 4:
Entry from Alexandria via LeMat-Bulk: a relaxed structure of Zr2TcSe (GGA-PBE).

Cell: 3.357 3.357 24.719 Å, 90.00 90.00 120.00°
Fractional coordinates of all 12 atoms:
Zr1 0.000 0.000 0.000
Zr2 0.000 0.000 0.232
Zr3 0.333 0.667 0.667
Zr4 0.333 0.667 0.899
Zr5 0.667 0.333 0.333
Zr6 0.667 0.333 0.565
Tc1 0.000 0.000 0.487
Tc2 0.333 0.667 0.154
Tc3 0.667 0.333 0.821
Se1 0.000 0.000 0.745
Se2 0.333 0.667 0.411
Se3 0.667 0.333 0.078

Summary:
The energy relative to the elements, uncorrected comes out at -59 meV per atom. Its density of states at the Fermi level is 1.141 states/eV per atom. The volume comes out at 241 Å³/cell.



Entry 5:
Entry from Alexandria via LeMat-Bulk: a relaxed structure of Ce2ThPb (GGA-PBE).

Cell: 4.859 4.859 4.926 Å, 90.00 90.00 90.00°
Fractional coordinates of all 4 atoms:
Ce1 0.000 0.500 0.000
Ce2 0.500 0.000 0.000
Th1 0.000 0.000 0.500
Pb1 0.500 0.500 0.500

Summary:
For the formation energy, the calculation gives -0.888 eV/f.u. Its density of states at the Fermi level is 2.661 states/eV per atom. The volume comes out at 116 Å³/cell. The polymorph energy (0 for the lowest one) comes out at 0.00 eV per formula unit.



Entry 6:
Entry from Alexandria via LeMat-Bulk: a relaxed structure of DyEr2PuSb4 (GGA-PBE).

Cell: 7.580 4.387 7.584 Å, 90.00 109.46 90.00°
Fractional coordinates of all 8 atoms:
Dy1 0.000 0.000 0.000
Er1 0.500 0.000 0.500
Er2 0.500 0.500 0.000
Pu1 0.000 0.500 0.500
Sb1 0.253 0.000 0.752
Sb2 0.253 0.500 0.250
Sb3 0.747 0.000 0.248
Sb4 0.747 0.500 0.750

Summary:
The energy relative to the elements, uncorrected comes out at -972 meV per atom. Its density of states at the Fermi level is 2.044 states/eV per atom. The volume comes out at 238 Å³/cell.



The lowest volume belongs to which entry?
Ce2ThPb